Entry from Alexandria via LeMat-Bulk: an optimized crystal structure of La3YTm7 (PBE).

The structure in POSCAR format:
```
La3YTm7
1.0
-1.1540 2.1946 -8.3569
-2.5541 -6.4199 -1.3332
-4.3438 5.1777 1.9595
La Y Tm
3 1 7
direct
0.7842 0.5006 0.4994
0.7842 0.5006 0.0011
0.7842 0.9989 0.4994
0.4426 0.3333 0.6667
0.1236 0.1669 0.8331
0.1236 0.1669 0.3338
0.1246 0.6667 0.3333
0.4415 0.8327 0.1673
0.4415 0.3346 0.1673
0.4415 0.8327 0.6654
0.1236 0.6662 0.8331
```

Calculated values
relative energy among the computed polymorphs: 12 meV per atom
energy of formation: 0.18 eV per atom